Computed, not measured: an optimized crystal structure of DySiTc at the PBE-GGA level of DFT.

Structure (POSCAR):
```
DySiTc
1.0
4.219 0.000 0.000
-2.109 3.653 0.000
0.000 0.000 3.762
Dy Si Tc
1 1 1
direct
0.000 0.000 0.000
0.333 0.667 0.500
0.667 0.333 0.500
```

Formation energy without anion corrections   -0.450 eV/atom
Total DFT energy (no corrections)   -7.247 eV per atom
Spin magnetization   0.0000 μB/atom